Entry 1:
# MnB2Mo

MnB2Mo after structural relaxation (PBE, Alexandria via LeMat-Bulk).

## Properties
Formation enthalpy at 0 K   855 meV per atom

Unit cell a=4.4101 b=4.4101 c=10.1617 alpha=90.00 beta=90.00 gamma=90.00
Closest atoms and distances in Å follow each position.
Space group I-42d (No. 122)
Symmetry-distinct sites (fractional):
Mn  0.0000  0.0000  0.0000 x4  4 B 1.91
B  0.2058  0.2500  0.1250 x8  2 Mn 1.91, 2 Mo 2.12
Mo  0.0000  0.0000  0.5000 x4  4 B 2.12

***

Entry 2:
# Y2Tl2Os

Y2Tl2Os after structural relaxation (PBE, Alexandria via LeMat-Bulk).

## Properties
Formation enthalpy at 0 K   362 meV per atom

Unit cell a=3.9093 b=3.9093 c=17.7911 alpha=90.00 beta=90.00 gamma=90.00
Closest atoms and distances in Å follow each position.
Space group I4/mmm (No. 139)
Symmetry-distinct sites (fractional):
Y  0.0000  0.0000  0.0869 x4  1 Y 3.09, 4 Os 3.17
Tl  0.0000  0.5000  0.2500 x4  4 Tl 2.76
Os  0.0000  0.0000  0.5000 x2  8 Y 3.17

***

Entry 3:
# CaSmAg

CaSmAg after structural relaxation (PBE, Alexandria via LeMat-Bulk).

## Properties
Formation enthalpy at 0 K   -4 meV per atom

Unit cell a=7.2678 b=7.2678 c=7.2678 alpha=90.00 beta=90.00 gamma=90.00
Closest atoms and distances in Å follow each position.
Space group F-43m (No. 216)
Symmetry-distinct sites (fractional):
Ca  0.0000  0.0000  0.0000 x4  4 Ag 3.15
Sm  0.0000  0.0000  0.5000 x4  4 Ag 3.15
Ag  0.2500  0.2500  0.7500 x4  4 Ca 3.15, 4 Sm 3.15

***

Entry 4:
# Pa3Ge2Pd

Pa3Ge2Pd after structural relaxation (PBE, Alexandria via LeMat-Bulk).

## Properties
Formation enthalpy at 0 K   -164 meV per atom

Unit cell a=16.0171 b=3.8450 c=10.2155 alpha=90.00 beta=120.46 gamma=90.00
Closest atoms and distances in Å follow each position.
Space group C2/m (No. 12)
Symmetry-distinct sites (fractional):
Pa  0.0319  0.0000  0.1829 x4  2 Pa 2.91, 3 Ge 2.99-3.09
Pa  0.1146  0.5000  0.0140 x4  3 Pa 2.91-3.02, 3 Ge 2.99-3.00
Pa  0.2487  0.5000  0.3542 x4  4 Ge 2.91-2.95, 1 Pa 3.02
Ge  0.1023  0.5000  0.4424 x4  2 Pd 2.52-2.53
Ge  0.1697  0.0000  0.8460 x4  2 Pd 2.53
Pd  0.0785  0.5000  0.6691 x4  4 Ge 2.52-2.53

***

Entry 5:
# AcSm8Dy6

AcSm8Dy6 after structural relaxation (PBE, Alexandria via LeMat-Bulk).

## Properties
Formation enthalpy at 0 K   165 meV per atom

Unit cell a=9.3195 b=9.3195 c=20.4138 alpha=90.00 beta=90.00 gamma=120.00
Closest atoms and distances in Å follow each position.
Space group R-3 (No. 148, hexagonal axes)
Symmetry-distinct sites (fractional):
Ac  0.0000  0.0000  0.0000 x3  6 Dy 3.58, 6 Sm 3.88
Sm  0.0000  0.0000  0.4280 x6  1 Sm 2.94, 3 Dy 3.23
Sm  0.0645  0.8190  0.1611 x18  7 Sm 3.45-3.80, 3 Dy 3.46-3.72
Dy  0.0389  0.8001  0.6935 x18  3 Sm 3.23-3.51, 3 Dy 3.54-3.58, 1 Ac 3.58

***

Entry 6:
# Ba2AgBi

Ba2AgBi after structural relaxation (PBE, Alexandria via LeMat-Bulk).

## Properties
Formation enthalpy at 0 K   -591 meV per atom

Unit cell a=5.9280 b=5.9280 c=4.3686 alpha=90.00 beta=90.00 gamma=90.00
Closest atoms and distances in Å follow each position.
Space group P4/mmm (No. 123)
Symmetry-distinct sites (fractional):
Ba  0.0000  0.5000  0.0000 x2  4 Bi 3.68, 4 Ag 3.68
Ag  0.0000  0.0000  0.5000 x1  8 Ba 3.68
Bi  0.5000  0.5000  0.5000 x1  8 Ba 3.68

***

Entry 7:
# Nd6Ga2Sn

Nd6Ga2Sn after structural relaxation (PBE, Alexandria via LeMat-Bulk).

## Properties
Formation enthalpy at 0 K   -448 meV per atom

Unit cell a=9.9360 b=9.9575 c=11.0277 alpha=90.00 beta=90.00 gamma=90.00
Closest atoms and distances in Å follow each position.
Space group Immm (No. 71)
Symmetry-distinct sites (fractional):
Nd  0.0000  0.2011  0.2358 x8  2 Ga 3.04-3.38, 1 Sn 3.28
Nd  0.2058  0.5000  0.1780 x8  3 Ga 3.03-3.16
Nd  0.2172  0.3133  0.5000 x8  3 Ga 3.14-3.30, 1 Sn 3.37
Ga  0.0000  0.3600  0.0000 x4  1 Ga 2.79, 2 Nd 3.04
Ga  0.0000  0.5000  0.3810 x4  1 Ga 2.63
Sn  0.0000  0.0000  0.0000 x2  8 Nd 3.28-3.37, 2 Ga 3.58
Sn  0.0000  0.0000  0.5000 x2  12 Nd 3.52-3.79

***

Entry 8:
# NdHo2HgC

NdHo2HgC after structural relaxation (PBE, Alexandria via LeMat-Bulk).

## Properties
Formation enthalpy at 0 K   -320 meV per atom

Unit cell a=4.8629 b=4.8629 c=5.1537 alpha=90.00 beta=90.00 gamma=90.00
Closest atoms and distances in Å follow each position.
Space group P4/mmm (No. 123)
Symmetry-distinct sites (fractional):
Nd  0.0000  0.0000  0.0000 x1  2 C 2.58
Ho  0.0000  0.5000  0.5000 x2  2 C 2.43
Hg  0.5000  0.5000  0.0000 x1  4 Nd 3.44, 8 Ho 3.54
C  0.0000  0.0000  0.5000 x1  4 Ho 2.43, 2 Nd 2.58

***

Entry 9:
# Ca3AlV

Ca3AlV after structural relaxation (PBE, Alexandria via LeMat-Bulk).

## Properties
Formation enthalpy at 0 K   714 meV per atom

Unit cell a=5.7703 b=5.7703 c=5.7703 alpha=90.00 beta=90.00 gamma=90.00
Closest atoms and distances in Å follow each position.
Space group Pm-3m (No. 221)
Symmetry-distinct sites (fractional):
Ca  0.0000  0.0000  0.5000 x3  2 Al 2.89
Al  0.0000  0.0000  0.0000 x1  6 Ca 2.89
V  0.5000  0.5000  0.5000 x1  12 Ca 4.08

***

Entry 10:
# Tm6GaP2Se3

Tm6GaP2Se3 after structural relaxation (PBE, Alexandria via LeMat-Bulk).

Unit cell a=17.6118 b=3.9574 c=8.1576 alpha=90.00 beta=103.90 gamma=90.00
Closest atoms and distances in Å follow each position.
Space group C2/m (No. 12)
Symmetry-distinct sites (fractional):
Tm  0.0039  0.0000  0.2471 x4  1 P 2.80, 2 Ga 2.81, 3 Se 2.87-2.95
Tm  0.1637  0.5000  0.0958 x4  2 P 2.77, 1 Ga 2.80, 3 Se 2.87-2.94
Tm  0.1724  0.5000  0.5712 x4  3 P 2.74, 3 Se 2.91-2.95
Ga  0.0000  0.5000  0.0000 x2  6 Tm 2.80-2.81
P  0.1675  0.0000  0.3357 x4  6 Tm 2.74-2.80
Se  0.0000  0.5000  0.5000 x2  6 Tm 2.87-2.95
Se  0.1684  0.0000  0.8312 x4  6 Tm 2.87-2.95

***

Number 1: VASP energy -7.484 eV/atom, magnetization 0.0002 μB per atom. Number 2: VASP energy -5.416 eV/atom, magnetization 0.0001 μB per atom. Number 3: VASP energy -3.195 eV/atom, magnetization 0.0001 μB per atom. Number 4: VASP energy -7.317 eV/atom, magnetization 0.0000 μB per atom. Number 5: VASP energy -4.467 eV/atom, magnetization 0.0000 μB per atom. Number 6: VASP energy -3.236 eV/atom, magnetization 0.0000 μB per atom. Number 7: VASP energy -4.744 eV/atom, magnetization 0.0000 μB per atom. Number 8: VASP energy -5.010 eV/atom, magnetization 0.0001 μB per atom. Number 9: VASP energy -3.059 eV/atom, magnetization 0.8043 μB per atom. Number 10: VASP energy -5.790 eV/atom, magnetization 0.0000 μB per atom.